No. 1
Computed, not measured: a relaxed structure of DyThAlIn at the GGA-PBE level of DFT.

Lattice parameters (Å, degrees): 5.313 5.313 5.313 60.00 60.00 60.00
Fractional positions:
Dy 0.000 0.000 0.000
Th 0.500 0.500 0.500
Al 0.250 0.250 0.250
In 0.750 0.750 0.750

Properties
ΔE_f ... -1.09 eV per formula unit
DFT total energy ... -4.90 eV/atom
Space-group type ... No. 216
Density of states at the Fermi level ... 3.8 states/eV/f.u.

No. 2
Computed, not measured: a relaxed structure of DyTmAlIn at the GGA-PBE level of DFT.

Lattice parameters (Å, degrees): 3.565 3.565 7.720 90.00 90.00 90.00
Fractional positions:
Dy 0.000 0.000 0.000
Tm 0.000 0.000 0.525
Al 0.500 0.500 0.759
In 0.500 0.500 0.267

Properties
ΔE_f ... -1.65 eV per formula unit
DFT total energy ... -4.30 eV/atom
Space-group type ... No. 99
Density of states at the Fermi level ... 1.9 states/eV/f.u.
Excess energy over the best structure of this formula in the dataset ... 0.0000 eV per atom

> The highest density of states at the Fermi level belongs to which entry?

DyThAlIn